Record 1
Ba2CrCuRu: optimized geometry, PBE.

Cell: 5.817 5.817 4.806 Å, 90.00 90.00 90.00°
Sites, in units of the cell vectors:
Ba1 0.000 0.500 0.000
Ba2 0.500 0.000 0.000
Cr1 0.000 0.000 0.500
Cu1 0.500 0.500 0.500
Ru1 0.500 0.500 0.000

Summary:
Spin magnetization: 5.166 μB/cell
Energy of formation from the pure elements: 0.799 eV/atom
N(E_F): 3.75 states/eV/cell
Total energy: -22.847 eV/cell

Record 2
Ba2CrCu2S6: optimized geometry, PBE.

Cell: 7.462 7.462 7.462 Å, 54.27 54.27 54.27°
Sites, in units of the cell vectors:
Ba1 0.230 0.230 0.230
Ba2 0.770 0.770 0.770
Cr1 0.000 0.000 0.000
Cu1 0.410 0.410 0.410
Cu2 0.590 0.590 0.590
S1 0.218 0.766 0.766
S2 0.234 0.234 0.782
S3 0.234 0.782 0.234
S4 0.766 0.218 0.766
S5 0.766 0.766 0.218
S6 0.782 0.234 0.234

Summary:
Spin magnetization: 1.980 μB/cell
N(E_F): 9.08 states/eV/cell
Formation energy from raw total energies: -9.6 eV per formula unit
Total energy: -56.036 eV/cell

Record 3
BaCrCu2Se4: optimized geometry, PBE.

Cell: 6.318 7.752 8.495 Å, 90.00 90.00 90.00°
Sites, in units of the cell vectors:
Ba1 0.000 0.000 0.000
Ba2 0.500 0.500 0.500
Cr1 0.000 0.000 0.500
Cr2 0.500 0.500 0.000
Cu1 0.000 0.500 0.148
Cu2 0.000 0.500 0.852
Cu3 0.500 0.000 0.352
Cu4 0.500 0.000 0.648
Se1 0.206 0.177 0.335
Se2 0.206 0.823 0.665
Se3 0.294 0.323 0.835
Se4 0.294 0.677 0.165
Se5 0.706 0.323 0.165
Se6 0.706 0.677 0.835
Se7 0.794 0.177 0.665
Se8 0.794 0.823 0.335

Summary:
Spin magnetization: 4.070 μB/cell
Formation energy from raw total energies: -5.3 eV per formula unit
Total energy: -77.874 eV/cell